This record from Alexandria describes CsRb2VF6 after structural relaxation. The functional is PBE with a Hubbard U.

Results
Total magnetic moment = 0.20 μB/atom
Total energy = -5.020 eV per atom
Density = 3.746 g cm⁻³

a = 6.5336 Å, b = 6.8307 Å, c = 9.3128 Å
α = 90.00°, β = 90.07°, γ = 90.00°
Each line ends with the local moment (μB).
Atoms (fractional coordinates):
1 Rb 0.4844 0.4529 0.2457  0.00
2 Rb 0.0156 0.9529 0.2543  0.00
3 Rb 0.9844 0.0471 0.7457  0.00
4 Rb 0.5156 0.5471 0.7543  0.00
5 Cs 0.0000 0.5000 0.5000  0.00
6 Cs 0.5000 0.0000 0.0000  0.00
7 F 0.6464 0.2368 0.5741  0.00
8 F 0.7472 0.8394 0.5411  0.00
9 F 0.2472 0.6606 0.0411  0.00
10 F 0.2528 0.1606 0.4589  0.00
11 F 0.8940 0.5584 0.1960  0.00
12 F 0.8536 0.7368 0.9259  0.00
13 F 0.1060 0.4416 0.8040  0.00
14 F 0.6060 0.0584 0.3040  0.00
15 F 0.1464 0.2632 0.0741  0.00
16 F 0.3940 0.9416 0.6960  0.00
17 F 0.3536 0.7632 0.4259  0.00
18 F 0.7528 0.3394 0.9589  0.00
19 V 0.0000 0.5000 0.0000  1.90
20 V 0.5000 0.0000 0.5000  1.90